[1]
{"formula": "HfZrN3", "functional": "GGA-PBE", "state": "relaxed", "final_energy_ev_per_atom": -8.91, "lattice_angstrom": [[-3.1577, 2.0483, -1.5153], [-0.8919, -3.1490, -2.3981], [-2.3867, -1.5332, 2.9010]], "species": ["N", "N", "N", "Zr", "Hf"], "fractional_positions": [[0.0000, 0.5000, 0.0000], [0.0000, 0.0000, 0.5000], [0.5000, 0.0000, 0.0000], [0.5000, 0.5000, 0.5000], [0.0000, 0.0000, 0.0000]]}



[2]
{"formula": "YWAu2", "functional": "GGA-PBE", "state": "relaxed", "ef_mev_per_atom": 72, "de_polymorph_mev_per_atom": 7, "lattice_angstrom": [[-3.5461, 1.9025, 2.6205], [-1.9203, -0.0846, -2.5372], [-1.7089, -4.6935, 1.0950]], "species": ["Y", "Au", "Au", "W"], "fractional_positions": [[0.5000, 0.6587, 0.8111], [0.5000, 0.1477, 0.3168], [0.0000, 0.1370, 0.9548], [0.0000, 0.5566, 0.4173]]}



[3]
{"formula": "Sc3CdN", "functional": "GGA-PBE", "state": "relaxed", "final_energy_ev_per_atom": -6.35, "lattice_angstrom": [[4.9448, 0.0000, 0.0000], [0.0000, 13.1205, 0.0000], [0.0000, 0.0000, 6.4162]], "species": ["Sc", "Sc", "Sc", "Sc", "Sc", "Sc", "Sc", "Sc", "Sc", "Sc", "Sc", "Sc", "N", "N", "N", "N", "Cd", "Cd", "Cd", "Cd"], "fractional_positions": [[0.4999, 0.8744, 0.5924], [0.0001, 0.2500, 0.5878], [0.9999, 0.7500, 0.4122], [0.5001, 0.1256, 0.4076], [0.5001, 0.3744, 0.4076], [0.9999, 0.6256, 0.9076], [0.4999, 0.7500, 0.0878], [0.4999, 0.6256, 0.5924], [0.0001, 0.3744, 0.0924], [0.5001, 0.2500, 0.9122], [0.0001, 0.1256, 0.0924], [0.9999, 0.8744, 0.9076], [0.5006, 0.2500, 0.5947], [0.0006, 0.2500, 0.9053], [0.4994, 0.7500, 0.4053], [0.9994, 0.7500, 0.0947], [0.5000, 0.0000, 0.0000], [0.0000, 0.0000, 0.5000], [0.0000, 0.5000, 0.5000], [0.5000, 0.5000, 0.0000]]}



[4]
{"formula": "Cu3BTe4", "functional": "GGA-PBE", "state": "relaxed", "final_energy_ev_per_atom": -3.90, "lattice_angstrom": [[-4.2930, 5.2572, -0.8565], [-4.0444, -3.9657, -4.0698], [-4.1350, -2.3363, 6.3857]], "species": ["Te", "Te", "Te", "Te", "Te", "Te", "Te", "Te", "B", "B", "Cu", "Cu", "Cu", "Cu", "Cu", "Cu"], "fractional_positions": [[0.1196, 0.3218, 0.2334], [0.1657, 0.8254, 0.5000], [0.1241, 0.8609, 0.0000], [0.6657, 0.1746, 0.0000], [0.6196, 0.6782, 0.2666], [0.6241, 0.1391, 0.5000], [0.1196, 0.3218, 0.7666], [0.6196, 0.6782, 0.7334], [0.0025, 0.1669, 0.0000], [0.5025, 0.8331, 0.5000], [0.9931, 0.6692, 0.2512], [0.4931, 0.3308, 0.2488], [0.4931, 0.3308, 0.7512], [0.9931, 0.6692, 0.7488], [0.4976, 0.8486, 0.0000], [0.9976, 0.1514, 0.5000]]}



[5]
{"formula": "K2NiBr", "functional": "GGA-PBE", "state": "relaxed", "de_polymorph_mev_per_atom": 45, "lattice_angstrom": [[-0.6819, 0.4564, 8.9870], [4.9009, -1.0098, 7.5101], [-1.4648, 3.1843, -8.3159]], "species": ["K", "K", "Ni", "Br"], "fractional_positions": [[0.0527, 0.0527, 0.0000], [0.7916, 0.2916, 0.5000], [0.4506, 0.4506, 0.0000], [0.2050, 0.7050, 0.5000]]}



[6]
{"formula": "GaCuSi", "functional": "GGA-PBE", "state": "relaxed", "final_energy_ev_per_atom": -3.98, "lattice_angstrom": [[-1.6018, -3.1080, -0.2182], [2.3776, -1.0112, -3.0501], [1.1001, -0.8304, 3.7522]], "species": ["Cu", "Ga", "Si"], "fractional_positions": [[0.1160, 0.0000, 0.0000], [0.6903, 0.6667, 0.3333], [0.1937, 0.3333, 0.6667]]}



[7]
{"formula": "ZrRu2Br", "functional": "GGA-PBE", "state": "relaxed", "de_polymorph_mev_per_atom": 353, "lattice_angstrom": [[4.5793, 0.0057, 0.0000], [-0.2646, 4.5717, 0.0000], [0.0000, 0.0000, 3.2568]], "species": ["Ru", "Ru", "Zr", "Br"], "fractional_positions": [[0.5000, 0.5000, 0.0000], [0.0000, 0.0000, 0.0000], [0.5000, 0.0000, 0.5000], [0.0000, 0.5000, 0.5000]]}



[8]
{"formula": "Nb4Tc2Mo3", "functional": "GGA-PBE", "state": "relaxed", "ef_mev_per_atom": -215, "lattice_angstrom": [[-2.1311, -1.6033, -3.6458], [2.3554, -1.0811, -3.6996], [0.9477, -7.8437, 2.8955]], "species": ["Mo", "Mo", "Mo", "Nb", "Nb", "Nb", "Nb", "Tc", "Tc"], "fractional_positions": [[0.6667, 0.6667, 0.5494], [0.3333, 0.3333, 0.4506], [0.0000, 0.0000, 0.0000], [0.3333, 0.3334, 0.1101], [0.0000, 0.0000, 0.3295], [0.6667, 0.6666, 0.8899], [0.0000, 0.0000, 0.6706], [0.3334, 0.3333, 0.7746], [0.6666, 0.6667, 0.2254]]}